Below is Tl2HgW after structural relaxation, with properties calculated at the PBE level.

Size of the total moment   0.857 μB/f.u.
E   -3.750 eV/atom
Distance to the lowest polymorph of the same formula   31 meV per atom
Space group   No. 71
Formation energy from the elements   0.75 eV per atom

POSCAR file:
```
Tl2HgW
1.0
7.7540 0.0073 -0.0041
5.6129 5.3497 0.0041
-6.1676 -3.9655 2.5216
W Hg Tl
1 1 2
Direct
0.7500 0.2500 0.5000 W
0.2500 0.7500 0.5000 Hg
0.9297 0.9297 0.0000 Tl
0.5703 0.5703 0.0000 Tl
```